Entry 1:
This record from the Alexandria database describes a relaxed structure of Nd5Tl2Hg. The functional is PBE.

Structure (extended XYZ):
```
16
Lattice="-4.7437 2.2317 -0.0495 -2.5754 -5.5470 -3.2819 -2.8446 -5.7802 12.0019" Properties=species:S:1:pos:R:3 pbc="T T T"
Nd -1.2877 -2.7735 -1.6409
Tl -6.3888 -7.3121 4.9491
Tl -5.6936 -5.7425 9.0897
Nd -2.4703 -5.0519 8.9628
Hg 0.0000 0.0000 0.0000
Nd -1.8043 -3.7908 1.9981
Nd -4.8922 -4.1034 6.1880
Tl -4.4701 -3.3529 -0.4193
Nd -3.1481 -0.5203 0.5971
Nd -3.6158 -7.5364 6.7219
Tl -3.7749 -1.7833 3.7213
Hg -2.7100 -5.6636 4.3600
Nd -2.9498 -6.2753 -0.2428
Nd -1.4223 -2.8901 6.0009
Nd -7.0156 -8.5751 8.0734
Nd -5.2716 -4.9921 2.4824
```

Summary:
**E_tot**: -0.2885 Ry/atom

Entry 2:
This record from the Alexandria database describes a relaxed structure of KMn2Se4. The functional is PBE.

Structure (extended XYZ):
```
14
Lattice="-1.4916 -1.8100 3.0313 -1.8070 -3.5255 -5.4173 10.7963 -7.1430 1.0473" Properties=species:S:1:pos:R:3 pbc="T T T"
Se 5.2326 -6.4184 -1.2577
Se 5.2670 -9.8798 -0.8845
Se -0.9975 -3.9015 -0.3974
K 0.6730 -5.3021 -2.8348
K 6.8247 -7.1764 1.4961
Mn 0.0055 -1.6639 -0.9908
Se -0.7458 -0.9050 1.5157
Mn 4.0075 -4.3116 -0.6026
Se 2.2651 -6.0601 -0.0809
Se 2.2306 -2.5988 -0.4541
Se 4.6523 -4.4765 2.0393
Se 8.4952 -8.5770 -0.9412
Mn 3.4902 -8.1669 -0.7361
Mn 7.4922 -10.8146 -0.3479
```

Summary:
**E_tot**: -0.3895 Ry/atom
**Uncorrected formation energy**: -532 meV/atom

Entry 3:
This record from the Alexandria database describes a relaxed structure of ReSi2Se. The functional is PBE.

Structure (extended XYZ):
```
4
Lattice="4.5417 -0.0088 -0.0240 -1.2332 4.3711 -0.0240 0.0190 0.0251 3.0026" Properties=species:S:1:pos:R:3 pbc="T T T"
Si 1.6543 2.1811 -0.0240
Se -0.6071 2.1981 1.4893
Re 2.2804 0.0081 1.4893
Si 0.0000 0.0000 0.0000
```

Summary:
**E_tot**: -0.4539 Ry/atom
**Uncorrected formation energy**: 519 meV/atom